# 1
Entry from Alexandria: a relaxed structure of LaBeCuPd6 (GGA-PBE).

Results
For the formation energy from the elements, the calculation gives -228 meV per atom.

abc: 5.8864 9.2097 11.5023
angles: 90.00 90.00 90.00
Space group Imma (No. 74)
One atom of each set of equivalent atoms:
1 La 0.0000 0.2500 0.1732 [4 per cell]
2 Be 0.0000 0.0000 0.5000 [4 per cell]
3 Cu 0.2500 0.2500 0.7500 [4 per cell]
4 Pd 0.0000 0.2500 0.4496 [4 per cell]
5 Pd 0.0000 0.2500 0.9378 [4 per cell]
6 Pd 0.2425 0.0118 0.8700 [16 per cell]

=====

# 2
Entry from Alexandria: a relaxed structure of In2Hg (GGA-PBE).

Results
The calculation puts the relative energy among the computed polymorphs at 14 meV/atom. For the formation energy from the elements, the calculation gives 17 meV per atom.

abc: 8.6768 8.6768 3.7147
angles: 90.00 90.00 120.00
Space group P-62m (No. 189)
One atom of each set of equivalent atoms:
1 In 0.0000 0.2873 0.0000 [3 per cell]
2 In 0.0000 0.6195 0.5000 [3 per cell]
3 Hg 0.0000 0.0000 0.5000 [1 per cell]
4 Hg 0.3333 0.6667 0.0000 [2 per cell]

=====

# 3
Entry from Alexandria: a relaxed structure of Rb2CrGaI6 (GGA-PBE).

Results
The value obtained for the energy relative to the elements, uncorrected is -0.803 eV per atom.

abc: 11.7590 11.7590 11.7590
angles: 90.00 90.00 90.00
Space group Fm-3m (No. 225)
One atom of each set of equivalent atoms:
1 Rb 0.2500 0.2500 0.2500 [8 per cell]
2 Cr 0.0000 0.0000 0.0000 [4 per cell]
3 Ga 0.0000 0.0000 0.5000 [4 per cell]
4 I 0.0000 0.0000 0.2357 [24 per cell]

=====

# 4
Entry from Alexandria: a relaxed structure of BaMg2Fe (GGA-PBE).

Results
For the formation energy from the elements, the calculation gives 369 meV per atom.

abc: 3.6091 3.6191 8.0979
angles: 90.00 90.00 90.00
Space group Pmm2 (No. 25)
One atom of each set of equivalent atoms:
1 Ba 0.0000 0.0000 0.0000 [1 per cell]
2 Mg 0.0000 0.0000 0.5800 [1 per cell]
3 Mg 0.5000 0.5000 0.3561 [1 per cell]
4 Fe 0.5000 0.5000 0.7086 [1 per cell]

=====

| no. | DOS(E_F) (states/eV/f.u.) |
| --- | --- |
| 1 | 3.7 |
| 2 | 1.2 |
| 3 | 0.0 |
| 4 | 5.4 |